## KTa2 (PBE-GGA)

Data for a relaxed structure of KTa2.

```
KTa2
1.0
-3.454 -4.698 0.960
-1.075 -1.797 5.526
-5.377 0.716 2.346
Ta K
4 2
direct
0.625 0.625 0.125 Ta
0.125 0.625 0.625 Ta
0.625 0.625 0.625 Ta
0.625 0.125 0.625 Ta
0.250 0.250 0.250 K
0.000 0.000 0.000 K
```

## Properties
Crystal system ... cubic
VASP energy ... -6.8410 eV/atom
Polymorph energy (0 for the lowest one) ... 0.0000 eV per atom
Theoretical density ... 9.1 g/cm3

***

## BeFeCuSi (PBE-GGA)

Data for a relaxed structure of BeFeCuSi.

```
BeFeCuSi
1.0
-1.355 2.075 2.990
-0.707 3.794 -0.431
-3.659 1.301 -0.039
Be Fe Si Cu
1 1 1 1
direct
0.750 0.750 0.750 Be
0.500 0.500 0.500 Fe
0.250 0.250 0.250 Si
0.000 0.000 0.000 Cu
```

## Properties
Crystal system ... cubic
VASP energy ... -5.4371 eV/atom
Polymorph energy (0 for the lowest one) ... 0.0000 eV per atom
Theoretical density ... 6.3 g/cm3

***

## RbPrSbSe3 (PBE-GGA)

Data for a relaxed structure of RbPrSbSe3.

```
RbPrSbSe3
1.0
-5.968 -4.496 -4.273
5.270 0.785 6.761
-7.794 5.139 5.478
Pr Se Rb Sb
2 6 2 2
direct
0.500 0.500 0.000 Pr
0.500 0.500 0.500 Pr
0.877 0.123 0.458 Se
0.877 0.123 0.042 Se
0.598 0.402 0.250 Se
0.402 0.598 0.750 Se
0.123 0.877 0.958 Se
0.123 0.877 0.542 Se
0.255 0.745 0.250 Rb
0.745 0.255 0.750 Rb
0.032 0.968 0.750 Sb
0.968 0.032 0.250 Sb
```

## Properties
Crystal system ... orthorhombic
VASP energy ... -4.3443 eV/atom
Theoretical density ... 4.8 g/cm3

***

## BeCuMo (PBE-GGA)

Data for a relaxed structure of BeCuMo.

```
BeCuMo
1.0
0.000 2.684 2.684
2.684 0.000 2.684
2.684 2.684 0.000
Cu Be Mo
1 1 1
direct
0.250 0.250 0.250 Cu
0.000 0.000 0.000 Be
0.750 0.750 0.750 Mo
```

## Properties
Crystal system ... cubic
VASP energy ... -5.5422 eV/atom
Polymorph energy (0 for the lowest one) ... 0.0000 eV per atom
Theoretical density ... 7.2 g/cm3

***

## GdMgZn (PBE-GGA)

Data for a relaxed structure of GdMgZn.

```
GdMgZn
1.0
-2.550 -3.834 -1.107
3.754 1.237 -2.798
6.538 -6.145 6.230
Mg Gd Zn
3 3 3
direct
0.638 0.364 0.904 Mg
0.973 0.034 0.434 Mg
0.643 0.375 0.582 Mg
0.971 0.030 0.743 Gd
0.639 0.365 0.264 Gd
0.310 0.709 0.064 Gd
0.308 0.705 0.341 Zn
0.314 0.716 0.572 Zn
0.301 0.690 0.810 Zn
```

## Properties
Crystal system ... monoclinic
VASP energy ... -2.5602 eV/atom
Theoretical density ... 5.6 g/cm3

***

## ScCo (PBE-GGA)

Data for a relaxed structure of ScCo.

```
ScCo
1.0
-2.813 1.800 1.353
-0.405 3.509 -0.713
-2.651 1.101 -2.178
Sc Co
1 1
direct
0.500 0.500 0.500 Sc
0.000 0.000 0.000 Co
```

## Properties
Crystal system ... cubic
Formation energy from the elements ... 3.67 kcal/mol of atoms
VASP energy ... -6.5584 eV/atom
Theoretical density ... 5.2 g/cm3

***

## KSnAu (PBE-GGA)

Data for a relaxed structure of KSnAu.

```
KSnAu
1.0
-2.384 -4.342 -1.164
-1.208 -3.303 3.677
-4.868 -0.664 1.325
K Sn Au
1 1 1
direct
0.250 0.250 0.250 K
0.750 0.750 0.750 Sn
0.000 0.000 0.000 Au
```

## Properties
Crystal system ... cubic
VASP energy ... -2.8104 eV/atom
Theoretical density ... 6.3 g/cm3

***

## CdNiBiAu (PBE-GGA)

Data for a relaxed structure of CdNiBiAu.

```
CdNiBiAu
1.0
4.283 0.869 2.051
0.361 3.255 3.547
0.846 -1.447 4.527
Bi Cd Au Ni
1 1 1 1
direct
0.500 0.500 0.500 Bi
0.000 0.000 0.000 Cd
0.750 0.750 0.750 Au
0.250 0.250 0.250 Ni
```

## Properties
Crystal system ... cubic
VASP energy ... -3.2788 eV/atom
Polymorph energy (0 for the lowest one) ... 0.0000 eV per atom
Theoretical density ... 12.0 g/cm3